1.
Entry from Alexandria: a crystal of MnRe2Ru relaxed with PBEsol (SCAN).

Properties
As for the crystal system: orthorhombic. The space group is Pmmm (47). The energy of formation from the pure elements comes out at 29 meV per atom.

```
MnRe2Ru
1.0
-1.0214 2.2341 -1.0769
-3.0519 -1.8737 -0.9924
-2.2778 1.2226 4.6965
Ru Re Mn
1 2 1
Cartesian
-2.0367 0.1802 -1.0347
-0.5952 0.3195 1.2272
-1.6825 0.9031 3.4692
-3.1755 0.7915 1.3136
```

2.
Entry from Alexandria: a crystal of Mg2HgBi relaxed with PBEsol (SCAN).

Properties
As for the crystal system: cubic. The space group is Fm-3m (225). The energy of formation from the pure elements comes out at -220 meV per atom.

```
Mg2HgBi
1.0
-4.0053 -1.6918 -2.7278
-3.8367 -2.4783 2.3415
-4.5834 2.2550 0.5024
Mg Bi Hg
2 1 1
Cartesian
-9.3190 -1.4363 0.0871
-3.1063 -0.4788 0.0290
-6.2127 -0.9575 0.0581
0.0000 0.0000 0.0000
```

3.
Entry from Alexandria: a crystal of Bi2PdO4 relaxed with PBEsol (SCAN).

Properties
As for the energy relative to the elements, uncorrected: -913 meV per atom. As for the crystal system: tetragonal. The space group is I4cm (108).

```
Bi2PdO4
1.0
-4.6697 -0.7535 2.8281
-1.9092 -6.6112 0.4559
0.9955 -0.9702 6.7548
O Bi Pd
8 4 2
Cartesian
-3.1148 -3.4330 8.3557
-1.5687 -1.6224 6.0213
-2.5402 -6.4745 3.1246
-1.2214 -6.7095 5.2395
-2.8875 -1.3874 3.9065
-5.6637 -5.4174 3.6184
-1.1626 -2.1953 1.1696
-2.9463 -5.9017 7.9763
-3.9985 -3.9784 3.2535
-1.7382 -4.3812 6.8783
-5.0587 -6.6721 6.1548
-0.6780 -1.6874 3.9770
-3.8702 -0.6245 2.3440
-1.5354 -0.2477 0.9299
```

4.
Entry from Alexandria: a crystal of AsP4Au relaxed with PBEsol (SCAN).

Properties
As for the crystal system: cubic. The space group is F-43m (216). The energy of formation from the pure elements comes out at 891 meV per atom.

```
AsP4Au
1.0
-3.5149 -0.5097 -3.8853
1.2900 -2.5991 -4.3921
-2.1493 -4.6989 -1.0051
As Au P
1 1 4
Cartesian
-3.2807 -5.8558 -6.9619
0.0000 0.0000 0.0000
-0.8399 -4.2696 -5.8121
-3.5557 -3.0887 -5.5256
-1.5690 -2.8006 -3.3296
-2.7838 -5.4565 -3.8977
```

5.
Entry from Alexandria: a crystal of InCo2Mo relaxed with PBEsol (SCAN).

Properties
As for the crystal system: monoclinic. The space group is Cm (8). The energy of formation from the pure elements comes out at 358 meV per atom.

```
InCo2Mo
1.0
2.7477 0.0000 0.0000
0.0000 4.5051 -0.0006
-1.3739 -0.9966 4.3657
In Co Mo
1 2 1
Cartesian
1.3739 2.4158 0.0760
1.3739 -0.8458 4.3043
0.0000 2.8027 2.2885
1.3739 0.3918 2.0616
```

6.
Entry from Alexandria: a crystal of AlZn relaxed with PBEsol (SCAN).

Properties
As for the crystal system: hexagonal. The space group is P-6m2 (187). The energy of formation from the pure elements comes out at 56 meV per atom.

```
AlZn
1.0
2.7644 0.0000 0.0000
-1.3822 2.3941 0.0000
0.0000 0.0000 4.6722
Al Zn
1 1
Cartesian
0.0000 0.0000 0.0000
0.0000 1.5960 2.3361
```

7.
Entry from Alexandria: a crystal of Zr2ZnIn relaxed with PBEsol (SCAN).

Properties
As for the crystal system: trigonal. The space group is R-3m (166). The energy of formation from the pure elements comes out at -171 meV per atom.

```
Zr2ZnIn
1.0
3.1880 0.0000 0.0000
1.5940 2.7609 0.0000
1.5940 0.9203 9.3524
Zr In Zn
2 1 1
Cartesian
4.7821 2.7609 6.8169
1.5940 0.9203 2.5354
0.0000 0.0000 0.0000
3.1880 1.8406 4.6762
```

8.
Entry from Alexandria: a crystal of Li2Mn5Si4O14 relaxed with PBEsol (SCAN).

Properties
As for the energy relative to the elements, uncorrected: -2554 meV per atom. As for the crystal system: triclinic. The space group is P-1 (2).

```
Li2Mn5Si4O14
1.0
5.4576 0.0164 -0.0115
-1.7683 7.2577 0.0251
-0.5593 -3.3258 7.0895
O Li Mn Si
14 2 5 4
Cartesian
-0.3036 0.4488 1.9331
0.2525 2.3374 4.0391
3.4335 3.4995 5.1699
1.3954 -0.1331 5.0760
1.2119 1.7504 0.0099
2.6603 -0.6373 1.8514
3.2714 -0.8852 6.9343
1.9181 2.1979 7.0932
-0.1414 4.8335 0.1687
1.7345 4.0814 2.0271
4.1757 -0.6120 4.0617
-1.0457 4.5603 3.0413
2.8774 1.6109 3.0639
0.4697 4.5856 5.2517
0.8289 -0.7661 3.2200
2.3011 4.7144 3.8830
-0.5966 0.0100 5.8427
3.7265 3.9384 1.2603
1.0946 2.0914 2.1000
0.0000 0.0000 0.0000
2.0354 1.8569 5.0030
1.9361 -1.2980 6.1004
-0.6169 3.6787 4.3420
3.7468 0.2696 2.7611
1.1939 5.2463 1.0026
```

9.
Entry from Alexandria: a crystal of Pr3Co4Sn13 relaxed with PBEsol (SCAN).

Properties
As for the crystal system: cubic. The space group is Pm-3n (223). The energy of formation from the pure elements comes out at -330 meV per atom.

```
Pr3Co4Sn13
1.0
9.4973 0.0000 0.0000
0.0000 9.4973 0.0000
0.0000 0.0000 9.4973
Sn Co Pr
26 8 6
Cartesian
1.8816 6.2470 4.7486
6.6303 0.0000 7.9989
0.0000 1.4983 6.6303
4.7486 1.8816 3.2503
0.0000 7.9989 2.8670
4.7486 7.6156 3.2503
7.6156 6.2470 4.7486
7.9989 2.8670 0.0000
0.0000 7.9989 6.6303
4.7486 7.6156 6.2470
0.0000 0.0000 0.0000
2.8670 0.0000 1.4983
3.2503 4.7486 7.6156
6.2470 4.7486 1.8816
4.7486 4.7486 4.7486
4.7486 1.8816 6.2470
3.2503 4.7486 1.8816
1.8816 3.2503 4.7486
0.0000 1.4983 2.8670
1.4983 2.8670 0.0000
1.4983 6.6303 0.0000
6.6303 0.0000 1.4983
7.6156 3.2503 4.7486
7.9989 6.6303 0.0000
2.8670 0.0000 7.9989
6.2470 4.7486 7.6156
7.1229 7.1229 7.1229
2.3743 7.1229 7.1229
7.1229 2.3743 2.3743
2.3743 7.1229 2.3743
7.1229 7.1229 2.3743
2.3743 2.3743 2.3743
7.1229 2.3743 7.1229
2.3743 2.3743 7.1229
0.0000 4.7486 7.1229
4.7486 7.1229 0.0000
7.1229 0.0000 4.7486
4.7486 2.3743 0.0000
2.3743 0.0000 4.7486
0.0000 4.7486 2.3743
```

10.
Entry from Alexandria: a crystal of InPH4O6 relaxed with PBEsol (SCAN).

Properties
The final energy is -9.5943 eV per atom. As for the crystal system: orthorhombic. The space group is Pbca (61).

```
InPH4O6
1.0
-7.0467 4.5445 2.5613
-4.4383 -8.5982 3.0451
4.2261 1.1891 9.5170
H In O P
32 8 48 8
Cartesian
-2.3586 -2.7348 3.3208
-0.3207 0.6740 7.2350
-4.4629 -5.8595 8.9031
-6.9382 -3.5386 7.8885
-5.1835 -0.2660 6.1743
-1.6898 -4.1733 8.4486
-1.7632 -6.1575 12.2849
-2.7603 3.2512 10.9560
-7.1079 -1.3976 4.1405
-0.4522 1.4484 4.9813
-4.9003 -0.1298 11.8026
-0.7026 -2.5544 6.8203
-3.1295 -1.2685 2.9538
-2.0644 -3.2421 6.2833
-8.5980 -3.7942 8.1313
-1.0795 0.2143 0.8707
-4.1294 -1.5961 12.1697
-4.4986 -6.1158 4.1674
-6.8067 -4.3130 10.1422
-5.7730 -6.2630 5.2778
-0.1510 -1.4670 10.9829
-5.5691 1.3087 6.6749
-5.1945 0.3775 8.8402
-2.4190 0.2263 12.1700
-2.0754 -2.5986 8.9491
-2.7960 2.9949 6.2204
1.3390 0.9297 6.9921
-1.4859 3.3984 9.8456
-6.5564 -0.3102 8.3031
-5.4957 3.2929 2.8386
-4.8399 -3.0909 2.9534
-6.1794 -3.0788 14.2528
-4.0376 3.1241 8.6917
0.4872 1.1336 9.6662
-4.9258 -2.0334 9.7305
-0.4010 -4.0239 10.7050
-7.7461 -3.9981 5.4572
-3.2213 -5.9886 6.4318
-2.3331 -0.8312 5.3930
-6.8579 1.1593 4.4184
-9.8997 -3.5758 8.9605
-2.9430 -1.9706 3.6620
-5.6478 1.1623 12.2516
-2.1041 -4.7171 11.8275
-5.9859 -0.2168 9.1005
-1.5677 0.6027 9.6991
0.9339 -0.9461 10.0073
-2.4535 3.6352 10.0685
-2.5103 3.2720 7.1213
0.0158 -1.4175 2.6341
2.6543 1.4615 9.5367
-5.6912 -3.4672 5.4244
-5.1548 1.8526 3.2959
-3.7191 2.7912 12.1555
-8.9058 -1.1081 7.4003
-0.8213 -2.0272 11.5159
-1.3612 -3.3263 8.9001
-7.2747 -1.4471 12.4894
1.6469 -1.7565 7.7232
-1.2730 -2.6478 6.0229
-7.7601 -4.0675 7.6163
-3.6695 -2.9710 12.8534
-3.7956 0.9867 8.5717
-4.3159 -0.8940 11.4615
-3.5398 -5.6558 2.9680
-5.8977 0.4617 6.2234
0.5012 1.2029 7.5072
-5.5046 2.8312 7.1722
-7.2787 -6.1020 5.6478
-6.8336 -2.7843 10.3919
-4.7486 -6.1366 8.0022
-8.1928 -1.9184 5.1161
-5.4550 -2.9310 7.8701
-3.0268 -1.3639 8.9389
-1.8039 0.0664 7.2533
2.6408 0.7113 6.1629
-4.8055 -6.4997 5.0549
-9.9132 -4.3261 5.5868
-1.7543 -5.6958 7.9513
0.0198 3.2374 9.4756
-4.0601 -3.8062 10.5135
-6.4376 -0.8373 3.6075
-1.6111 -4.0268 2.8719
-3.4633 -3.8513 6.5518
-0.4253 -0.0803 4.7316
-4.2321 -1.5007 6.1846
-3.1988 0.9416 4.6100
-3.5894 0.1065 2.2700
-9.0861 -0.9040 5.8889
-3.5730 -4.2082 11.9133
1.8271 -1.9605 9.2346
-4.7248 -2.9405 6.4953
0.6754 -0.6929 3.8165
-7.9343 -2.1717 11.3069
-2.5341 0.0759 8.6282
-3.6859 1.3436 3.2101
```

11.
Entry from Alexandria: a crystal of RbZn2Sb2 relaxed with PBEsol (SCAN).

Properties
As for the energy relative to the elements, uncorrected: -302 meV per atom. As for the crystal system: tetragonal. The space group is I4/mmm (139).

```
RbZn2Sb2
1.0
4.1162 0.0000 0.0000
0.0000 4.1162 0.0000
-2.0581 -2.0581 8.2287
Zn Rb Sb
2 1 2
Cartesian
0.0000 2.0581 4.1144
2.0581 0.0000 4.1144
0.0000 0.0000 0.0000
2.0581 2.0581 2.3607
0.0000 0.0000 5.8680
```

12.
Entry from Alexandria: a crystal of FeRe3P relaxed with PBEsol (SCAN).

Properties
As for the crystal system: cubic. The space group is Pm-3m (221). The energy of formation from the pure elements comes out at 1973 meV per atom.

```
FeRe3P
1.0
4.3643 0.0000 0.0000
0.0000 4.3643 0.0000
0.0000 0.0000 4.3643
Re P Fe
3 1 1
Cartesian
0.0000 2.1821 0.0000
2.1821 0.0000 0.0000
0.0000 0.0000 2.1821
2.1821 2.1821 2.1821
0.0000 0.0000 0.0000
```

13.
Entry from Alexandria: a crystal of Na2Cu2Si5H6O16 relaxed with PBEsol (SCAN).

Properties
The final energy is -8.8368 eV per atom. As for the crystal system: monoclinic. The space group is Pc (7).

```
Na2Cu2Si5H6O16
1.0
5.1582 0.0000 0.0000
0.0000 11.2026 -0.0685
0.0000 -1.2345 11.7956
O Si Na H Cu
32 10 4 12 4
Cartesian
5.1528 3.6623 2.3337
1.8948 1.8403 1.7734
0.4228 5.2892 7.0428
2.7385 5.2922 11.6422
4.7104 4.6608 4.7429
2.4197 0.3082 5.7787
4.3050 -0.0708 8.8161
0.0392 6.3373 9.4365
3.4251 10.5217 3.2665
4.8999 7.9881 0.6889
2.6477 6.6625 4.9365
4.9808 8.3868 5.0979
1.7331 4.3031 9.1985
0.4478 9.6448 10.6065
4.3219 3.8420 8.9642
0.0054 8.6464 8.1972
2.5106 0.4440 10.8685
0.1774 2.1683 11.0299
0.8364 10.0605 3.0321
1.7163 -0.5578 8.4945
2.6354 1.8891 8.6460
0.2583 1.7696 6.6209
2.5228 8.1076 2.7140
0.8532 6.1477 2.8841
2.3837 10.0195 0.8163
3.2634 6.8244 7.6369
3.4419 5.6607 2.5625
2.7745 3.8009 6.7483
3.2879 8.1335 10.0381
1.8703 3.1495 4.1746
4.7354 0.3051 1.1793
5.1191 1.3532 3.5729
4.8380 5.0335 3.1640
0.3320 4.9503 8.6302
2.8553 3.4558 8.3097
2.8061 0.4077 9.2923
2.3029 9.6744 2.3777
4.8262 -0.0338 2.7667
1.0353 2.5020 2.9628
2.3521 6.6262 3.3602
0.3202 10.0176 9.0276
4.1229 7.4861 8.8263
3.6821 2.3140 5.2323
1.4761 7.2980 11.0959
3.8053 2.5555 0.7355
1.3529 7.5395 6.5991
2.4774 4.7662 10.8471
4.0954 7.9746 4.9502
5.1555 7.4970 1.4995
0.9889 1.2326 6.2069
2.7206 5.9347 0.6283
1.0628 1.7560 10.8822
5.1113 2.6856 10.2231
2.4377 -0.2839 6.5603
2.6808 -0.2179 4.9835
0.0469 8.9041 4.2910
0.0027 1.2784 7.4316
4.1693 7.4511 0.2749
3.8849 5.7577 6.1388
1.1895 4.1211 5.6834
1.2733 0.7737 0.2752
3.9687 9.1052 11.5470
```

14.
Entry from Alexandria: a crystal of HgAuBr2 relaxed with PBEsol (SCAN).

Properties
As for the energy relative to the elements, uncorrected: -18 meV per atom. As for the crystal system: monoclinic. The space group is P2/m (10).

```
HgAuBr2
1.0
-2.0575 -2.5297 -2.0994
3.1069 -2.3870 -0.1686
-1.7683 -3.3776 5.8029
Au Br Hg
1 2 1
Cartesian
-0.3594 -4.1471 1.7675
0.5010 -1.6985 1.5557
0.8377 -4.0660 4.0786
-1.0287 -1.2648 -1.0497
```

15.
Entry from Alexandria: a crystal of BiAsRuBr2 relaxed with PBEsol (SCAN).

Properties
As for the energy relative to the elements, uncorrected: 1146 meV per atom. As for the crystal system: tetragonal. The space group is P4/mmm (123).

```
BiAsRuBr2
1.0
-2.3110 2.4710 -4.2741
-4.2900 1.3304 3.0888
2.5218 4.8233 1.4250
Br Ru As Bi
2 1 1 1
Cartesian
-2.1450 0.6652 1.5444
-1.1555 1.2355 -2.1371
-2.0396 4.3124 0.1198
1.2609 2.4116 0.7125
0.0000 0.0000 0.0000
```

16.
Entry from Alexandria: a crystal of CsSbP2O relaxed with PBEsol (SCAN).

Properties
As for the energy relative to the elements, uncorrected: 1468 meV per atom. As for the crystal system: tetragonal. The space group is P4/mmm (123).

```
CsSbP2O
1.0
4.2124 0.0000 0.0000
0.0000 5.3413 0.0000
0.0000 0.0000 5.3413
P O Sb Cs
2 1 1 1
Cartesian
0.0000 2.6706 0.0000
0.0000 0.0000 2.6706
2.1062 0.0000 0.0000
2.1062 2.6706 2.6706
0.0000 0.0000 0.0000
```

17.
Entry from Alexandria: a crystal of La2CoRh relaxed with PBEsol (SCAN).

Properties
As for the crystal system: orthorhombic. The space group is Amm2 (38). The energy of formation from the pure elements comes out at -322 meV per atom.

```
La2CoRh
1.0
3.8914 0.0000 0.0000
0.0000 3.9374 0.0000
-1.9457 0.0000 5.6426
La Rh Co
2 1 1
Cartesian
1.9457 0.0000 5.4197
0.0000 1.9687 2.9177
1.9457 0.0000 2.2062
1.9457 1.9687 0.4142
```